# 1
A plane-wave DFT calculation with GGA-PBE was carried out for a relaxed Be3SiNi crystal.

Calculated values
Energy above the most stable polymorph in this dataset: 0.000 eV per atom
Mass density: 3.46 Mg/m³

Cell lengths 4.4531, 6.6983, 7.3307 Å; angles 90.00, 90.00, 90.00 degrees
Closest atoms and distances in Å follow each position.
Space group Imma (No. 74)
One atom of each set of equivalent atoms:
Be  0.2500  0.0786  0.2500 [8 per cell]  4 Be 2.20-2.30, 2 Si 2.32, 2 Ni 2.36
Be  0.2500  0.2500  0.7500 [4 per cell]  4 Be 2.20-2.23, 2 Ni 2.23, 2 Si 2.28
Si  0.0000  0.2500  0.0215 [4 per cell]  2 Ni 2.23, 6 Be 2.28-2.32
Ni  0.0000  0.2500  0.4872 [4 per cell]  6 Be 2.23-2.36, 2 Si 2.23



# 2
A plane-wave DFT calculation with GGA-PBE was carried out for a relaxed BeSiNi2 crystal.

Calculated values
Energy above the most stable polymorph in this dataset: 0.266 eV per atom
Mass density: 6.10 Mg/m³

Cell lengths 2.5725, 2.5725, 22.0000 Å; angles 90.00, 90.00, 120.00 degrees
Closest atoms and distances in Å follow each position.
Space group R-3m (No. 166, hexagonal axes)
One atom of each set of equivalent atoms:
Be  0.0000  0.0000  0.0000 [3 per cell]  6 Ni 2.32, 6 Be 2.57
Si  0.0000  0.0000  0.5000 [3 per cell]  6 Ni 2.40, 6 Si 2.57
Ni  0.0000  0.0000  0.2522 [6 per cell]  3 Be 2.32, 3 Si 2.40, 6 Ni 2.57



# 3
A plane-wave DFT calculation with GGA-PBE was carried out for a relaxed BeSiNi crystal.

Calculated values
Energy above the most stable polymorph in this dataset: 0.181 eV per atom
Mass density: 4.65 Mg/m³

Cell lengths 5.1514, 5.1514, 5.1514 Å; angles 90.00, 90.00, 90.00 degrees
Closest atoms and distances in Å follow each position.
Space group F-43m (No. 216)
One atom of each set of equivalent atoms:
Be  0.0000  0.0000  0.0000 [4 per cell]  4 Ni 2.23, 4 Si 2.23
Si  0.2500  0.2500  0.7500 [4 per cell]  4 Be 2.23
Ni  0.2500  0.2500  0.2500 [4 per cell]  4 Be 2.23



# 4
A plane-wave DFT calculation with GGA-PBE was carried out for a relaxed BeSi2Ni crystal.

Calculated values
Mass density: 4.07 Mg/m³

Cell lengths 3.6369, 3.6369, 15.2717 Å; angles 90.00, 90.00, 90.00 degrees
Closest atoms and distances in Å follow each position.
Space group I-42d (No. 122)
One atom of each set of equivalent atoms:
Be  0.0000  0.0000  0.0000 [4 per cell]  4 Si 2.29
Si  0.2428  0.2500  0.1250 [8 per cell]  2 Be 2.29, 2 Ni 2.31, 2 Si 2.54
Ni  0.0000  0.0000  0.5000 [4 per cell]  4 Si 2.31, 4 Be 2.57



# 5
A plane-wave DFT calculation with GGA-PBE was carried out for a relaxed Sm2BeSi3Ni4 crystal.

Calculated values
Mass density: 6.92 Mg/m³

Cell lengths 3.9962, 3.9962, 9.4504 Å; angles 90.00, 90.00, 90.00 degrees
Closest atoms and distances in Å follow each position.
Space group P-4m2 (No. 115)
One atom of each set of equivalent atoms:
Sm  0.0000  0.5000  0.2452 [2 per cell]  2 Be 3.06, 6 Si 3.06, 8 Ni 3.06-3.13
Be  0.5000  0.5000  0.0000 [1 per cell]  4 Ni 2.30
Si  0.0000  0.0000  0.0000 [1 per cell]  4 Ni 2.30
Si  0.0000  0.5000  0.6304 [2 per cell]  5 Ni 2.35
Ni  0.0000  0.0000  0.5000 [1 per cell]  4 Si 2.35
Ni  0.0000  0.5000  0.8790 [2 per cell]  2 Be 2.30, 3 Si 2.30-2.35
Ni  0.5000  0.5000  0.5000 [1 per cell]  4 Si 2.35



# 6
A plane-wave DFT calculation with GGA-PBE was carried out for a relaxed Sm2BeSi3Ni12 crystal.

Calculated values
Mass density: 7.21 Mg/m³

Cell lengths 6.2053, 6.2053, 22.7659 Å; angles 90.00, 90.00, 120.00 degrees
Closest atoms and distances in Å follow each position.
Space group R-3m (No. 166, hexagonal axes)
One atom of each set of equivalent atoms:
Sm  0.0000  0.0000  0.1565 [6 per cell]  6 Ni 2.76-2.89
Be  0.0000  0.0000  0.5000 [3 per cell]  6 Ni 2.10
Si  0.0000  0.5000  0.0000 [9 per cell]  6 Ni 2.25-2.30
Ni  0.0633  0.5317  0.0998 [18 per cell]  1 Be 2.10, 1 Si 2.30
Ni  0.0641  0.5321  0.6203 [18 per cell]  2 Si 2.25, 4 Ni 2.46-2.51



# 7
A plane-wave DFT calculation with GGA-PBE was carried out for a relaxed SrBeSi2Ni crystal.

Calculated values
Mass density: 4.29 Mg/m³

Cell lengths 4.0646, 4.0646, 9.9116 Å; angles 90.00, 90.00, 90.00 degrees
Closest atoms and distances in Å follow each position.
Space group I-4m2 (No. 119)
One atom of each set of equivalent atoms:
Sr  0.0000  0.0000  0.0000 [2 per cell]  8 Si 3.15, 4 Ni 3.20, 4 Be 3.20
Be  0.0000  0.5000  0.7500 [2 per cell]  4 Si 2.35
Si  0.0000  0.0000  0.3691 [4 per cell]  2 Be 2.35, 2 Ni 2.35, 1 Si 2.59
Ni  0.0000  0.5000  0.2500 [2 per cell]  4 Si 2.35



# 8
A plane-wave DFT calculation with GGA-PBE was carried out for a relaxed TaBeSi2Ni crystal.

Calculated values
Mass density: 6.17 Mg/m³

Cell lengths 4.1308, 4.1308, 4.8055 Å; angles 90.00, 90.00, 90.00 degrees
Closest atoms and distances in Å follow each position.
Space group P4/mmm (No. 123)
One atom of each set of equivalent atoms:
Ta  0.0000  0.0000  0.0000 [1 per cell]  2 Ni 2.40
Be  0.5000  0.5000  0.0000 [1 per cell]  4 Ta 2.92, 8 Si 3.17
Si  0.0000  0.5000  0.5000 [2 per cell]  2 Ni 2.07
Ni  0.0000  0.0000  0.5000 [1 per cell]  4 Si 2.07



# 9
A plane-wave DFT calculation with GGA-PBE was carried out for a relaxed TaBe2SiNi crystal.

Calculated values
Mass density: 7.37 Mg/m³

Cell lengths 3.9142, 3.9142, 4.2032 Å; angles 90.00, 90.00, 90.00 degrees
Closest atoms and distances in Å follow each position.
Space group P4/mmm (No. 123)
One atom of each set of equivalent atoms:
Ta  0.0000  0.0000  0.0000 [1 per cell]  4 Si 2.77, 8 Be 2.87
Be  0.0000  0.5000  0.5000 [2 per cell]  2 Ni 1.96
Si  0.5000  0.5000  0.0000 [1 per cell]  2 Ni 2.10
Ni  0.5000  0.5000  0.5000 [1 per cell]  4 Be 1.96, 2 Si 2.10



# 10
A plane-wave DFT calculation with GGA-PBE was carried out for a relaxed TbBeSi2Ni crystal.

Calculated values
Mass density: 6.37 Mg/m³

Cell lengths 3.8838, 3.8838, 9.7735 Å; angles 90.00, 90.00, 90.00 degrees
Closest atoms and distances in Å follow each position.
Space group I-4m2 (No. 119)
One atom of each set of equivalent atoms:
Tb  0.0000  0.0000  0.0000 [2 per cell]  8 Si 3.00, 4 Be 3.12, 4 Ni 3.12
Be  0.0000  0.5000  0.2500 [2 per cell]  4 Si 2.30
Si  0.0000  0.0000  0.3764 [4 per cell]  2 Ni 2.30, 2 Be 2.30, 1 Si 2.42
Ni  0.0000  0.5000  0.7500 [2 per cell]  4 Si 2.30



# 11
A plane-wave DFT calculation with GGA-PBE was carried out for a relaxed TbBeSi2Ni4 crystal.

Calculated values
Mass density: 7.31 Mg/m³

Cell lengths 3.8781, 3.8781, 24.0234 Å; angles 90.00, 90.00, 120.00 degrees
Closest atoms and distances in Å follow each position.
Space group R-3m (No. 166, hexagonal axes)
One atom of each set of equivalent atoms:
Tb  0.0000  0.0000  0.0000 [3 per cell]  6 Ni 2.92, 6 Si 3.20
Be  0.0000  0.0000  0.5000 [3 per cell]  8 Ni 2.13-2.35
Si  0.0000  0.0000  0.2381 [6 per cell]  7 Ni 2.28-2.45
Ni  0.0000  0.0000  0.1371 [6 per cell]  3 Be 2.35, 4 Si 2.43-2.45
Ni  0.0000  0.0000  0.4112 [6 per cell]  1 Be 2.13, 3 Si 2.28



# 12
A plane-wave DFT calculation with GGA-PBE was carried out for a relaxed TbBe2SiNi2 crystal.

Calculated values
Mass density: 6.12 Mg/m³

Cell lengths 4.0292, 4.0292, 5.3894 Å; angles 90.00, 90.00, 90.00 degrees
Closest atoms and distances in Å follow each position.
Space group P4/mmm (No. 123)
One atom of each set of equivalent atoms:
Tb  0.0000  0.0000  0.0000 [1 per cell]  2 Si 2.69
Be  0.0000  0.5000  0.5000 [2 per cell]  2 Si 2.01
Si  0.0000  0.0000  0.5000 [1 per cell]  4 Be 2.01
Ni  0.5000  0.5000  0.2582 [2 per cell]  4 Be 2.40, 1 Ni 2.61



# 13
A plane-wave DFT calculation with GGA-PBE was carried out for a relaxed Tb2Be3Si4Ni crystal.

Calculated values
Mass density: 5.89 Mg/m³

Cell lengths 3.8919, 3.8919, 9.6067 Å; angles 90.00, 90.00, 90.00 degrees
Closest atoms and distances in Å follow each position.
Space group P-4m2 (No. 115)
One atom of each set of equivalent atoms:
Tb  0.0000  0.5000  0.2488 [2 per cell]  6 Be 2.97-3.08, 8 Si 2.98-3.10, 2 Ni 3.08
Be  0.0000  0.0000  0.0000 [1 per cell]  4 Si 2.31
Be  0.0000  0.5000  0.6339 [2 per cell]  5 Si 2.27-2.33
Si  0.0000  0.0000  0.5000 [1 per cell]  4 Be 2.33
Si  0.0000  0.5000  0.8697 [2 per cell]  3 Be 2.27-2.31, 2 Ni 2.31
Si  0.5000  0.5000  0.5000 [1 per cell]  4 Be 2.33
Ni  0.5000  0.5000  0.0000 [1 per cell]  4 Si 2.31



| no. | final energy (eV/atom) | N(E_F) (states/eV per cell) |
| --- | --- | --- |
| 1 | -4.3468 | 7.431 |
| 2 | -5.4415 | 4.833 |
| 3 | -5.1136 | 6.619 |
| 4 | -5.0644 | 6.193 |
| 5 | -5.9703 | 7.167 |
| 6 | -5.6309 | 19.341 |
| 7 | -4.7833 | 7.199 |
| 8 | -5.7345 | 2.869 |
| 9 | -5.7412 | 3.556 |
| 10 | -5.6989 | 2.447 |
| 11 | -5.9114 | 9.524 |
| 12 | -4.7489 | 2.229 |
| 13 | -5.3107 | 2.925 |